(1)
First-principles (GGA-PBE) data for a relaxed Er3ScTl4Se8 crystal, as listed in Alexandria.

Computed properties:
formation energy from raw total energies	-1346	meV per atom

Geometry as POSCAR:
```
Er3ScTl4Se8
1.0
8.220 0.000 0.000
0.000 9.084 0.603
-4.110 -4.108 5.815
Er Sc Tl Se
3 1 4 8
Direct
0.500 0.500 0.000
0.500 0.500 0.500
0.000 0.500 0.500
0.000 0.500 0.000
0.500 0.000 0.000
0.500 0.000 0.500
0.000 0.000 0.000
0.000 0.000 0.500
0.229 0.699 0.971
0.229 0.699 0.457
0.265 0.296 0.531
0.742 0.699 0.971
0.258 0.301 0.029
0.735 0.704 0.469
0.771 0.301 0.543
0.771 0.301 0.029
```

=====

(2)
First-principles (GGA-PBE) data for a relaxed ErTmSc2Se6 crystal, as listed in Alexandria.

Computed properties:
DOS at the Fermi energy	0.00	states/eV/f.u.
formation energy from raw total energies	-1747	meV per atom

Geometry as POSCAR:
```
ErTmSc2Se6
1.0
6.952 0.000 0.000
3.476 6.021 0.000
3.476 2.007 6.284
Er Tm Sc Se
1 1 2 6
Direct
0.317 0.317 0.048
0.818 0.818 0.547
0.509 0.510 0.472
0.010 0.010 0.971
0.621 0.237 0.247
0.237 0.896 0.247
0.896 0.621 0.247
0.398 0.737 0.746
0.737 0.119 0.746
0.119 0.398 0.746
```

=====

(3)
First-principles (GGA-PBE) data for a relaxed ErTm2Sc3Se6 crystal, as listed in Alexandria.

Computed properties:
DOS at the Fermi energy	6.44	states/eV/f.u.
formation energy from raw total energies	-1631	meV per atom

Geometry as POSCAR:
```
ErTm2Sc3Se6
1.0
-2.303 2.340 -2.191
-5.579 -5.617 -0.134
-0.855 3.405 8.092
Er Tm Sc Se
1 2 3 6
Direct
0.500 0.000 0.000
0.834 0.668 0.667
0.166 0.332 0.333
0.500 0.500 0.000
0.834 0.167 0.668
0.166 0.833 0.332
0.330 0.922 0.661
0.665 0.589 0.329
0.670 0.078 0.339
0.998 0.257 0.996
0.002 0.743 0.004
0.335 0.411 0.671
```

=====

(4)
First-principles (GGA-PBE) data for a relaxed ErTm2ScSe4 crystal, as listed in Alexandria.

Computed properties:
DOS at the Fermi energy	4.87	states/eV/f.u.
formation energy from raw total energies	-1645	meV per atom

Geometry as POSCAR:
```
ErTm2ScSe4
1.0
3.952 0.000 0.000
0.000 6.925 -0.163
0.000 2.414 6.507
Er Tm Sc Se
1 2 1 4
Direct
0.000 0.500 0.500
0.000 0.000 0.000
0.500 0.000 0.500
0.500 0.500 0.000
0.000 0.745 0.757
0.000 0.255 0.243
0.500 0.748 0.246
0.500 0.252 0.754
```